[1]
! La2NiPbO6 | Alexandria via LeMat-Bulk | GGA+U | optimized geometry; values from VASP
! DOS at the Fermi energy, states/eV/atom: 0.000
! Uncorrected energy, eV/cell: -135.9
! Density, g/cm³: 7.6
&SYSTEM
  ibrav = 0, nat = 20, ntyp = 4
/
ATOMIC_SPECIES
O 16.00 O.upf
La 138.91 La.upf
Ni 58.69 Ni.upf
Pb 207.20 Pb.upf
CELL_PARAMETERS angstrom
5.715 0.000 0.022
0.000 5.943 0.000
0.077 0.000 8.221
ATOMIC_POSITIONS crystal
O 0.703 0.305 0.560
O 0.203 0.195 0.060
O 0.113 0.457 0.744
O 0.613 0.043 0.244
O 0.387 0.957 0.756
O 0.691 0.297 0.940
O 0.191 0.203 0.440
O 0.797 0.805 0.940
O 0.809 0.797 0.560
O 0.309 0.703 0.060
O 0.297 0.695 0.440
O 0.887 0.543 0.256
La 0.983 0.057 0.749
La 0.517 0.557 0.751
La 0.483 0.443 0.249
La 0.017 0.943 0.251
Ni 0.000 0.500 0.500
Ni 0.500 0.000 0.000
Pb 0.000 0.500 0.000
Pb 0.500 0.000 0.500

[2]
! LaPuNiO6 | Alexandria via LeMat-Bulk | GGA+U | optimized geometry; values from VASP
! Uncorrected energy, eV/cell: -146.4
! Density, g/cm³: 6.8
&SYSTEM
  ibrav = 0, nat = 18, ntyp = 4
/
ATOMIC_SPECIES
La 138.91 La.upf
O 16.00 O.upf
Ni 58.69 Ni.upf
Pu 244.00 Pu.upf
CELL_PARAMETERS angstrom
5.327 0.000 0.000
-2.663 4.613 0.000
0.000 0.000 10.613
ATOMIC_POSITIONS crystal
La 0.000 0.000 0.000
La 0.000 0.000 0.500
O 0.647 0.011 0.357
O 0.364 0.353 0.357
O 0.011 0.647 0.857
O 0.989 0.353 0.143
O 0.636 0.989 0.857
O 0.364 0.011 0.143
O 0.989 0.636 0.357
O 0.353 0.989 0.643
O 0.353 0.364 0.857
O 0.647 0.636 0.143
O 0.011 0.364 0.643
O 0.636 0.647 0.643
Ni 0.667 0.333 0.750
Ni 0.333 0.667 0.250
Pu 0.333 0.667 0.750
Pu 0.667 0.333 0.250

[3]
! La5Re3NiO16 | Alexandria via LeMat-Bulk | GGA+U | optimized geometry; values from VASP
! DOS at the Fermi energy, states/eV/atom: 0.272
! Uncorrected energy, eV/cell: -206.9
! Density, g/cm³: 7.9
&SYSTEM
  ibrav = 0, nat = 25, ntyp = 4
/
ATOMIC_SPECIES
O 16.00 O.upf
Ni 58.69 Ni.upf
Re 186.21 Re.upf
La 138.91 La.upf
CELL_PARAMETERS angstrom
-4.389 -3.109 -1.818
3.656 -3.868 -1.988
-0.202 -4.082 9.382
ATOMIC_POSITIONS crystal
O 0.696 0.186 0.001
O 0.180 0.290 0.964
O 0.296 0.770 0.364
O 0.546 0.548 0.803
O 0.778 0.304 0.365
O 0.222 0.696 0.635
O 0.071 0.076 0.183
O 0.310 0.304 0.434
O 0.704 0.230 0.636
O 0.820 0.710 0.036
O 0.776 0.782 0.324
O 0.690 0.696 0.566
O 0.454 0.452 0.197
O 0.929 0.924 0.817
O 0.304 0.814 0.999
O 0.224 0.218 0.676
Ni 0.500 0.500 0.000
Re 0.445 0.445 0.606
Re 0.555 0.555 0.394
Re 0.000 0.000 0.000
La 0.034 0.508 0.207
La 0.966 0.492 0.793
La 0.487 0.973 0.801
La 0.000 0.000 0.500
La 0.513 0.027 0.199

[4]
! SrLaNiRuO6 | Alexandria via LeMat-Bulk | GGA+U | optimized geometry; values from VASP
! Uncorrected energy, eV/cell: -137.5
! Density, g/cm³: 6.4
&SYSTEM
  ibrav = 0, nat = 20, ntyp = 5
/
ATOMIC_SPECIES
O 16.00 O.upf
Ru 101.07 Ru.upf
Ni 58.69 Ni.upf
La 138.91 La.upf
Sr 87.62 Sr.upf
CELL_PARAMETERS angstrom
-5.159 -1.701 -1.591
0.446 -4.475 3.340
-2.755 -0.347 9.305
ATOMIC_POSITIONS crystal
O 0.474 0.749 0.462
O 0.730 0.321 0.744
O 0.762 0.663 0.256
O 0.035 0.259 0.541
O 0.526 0.749 0.962
O 0.462 0.188 0.035
O 0.538 0.188 0.535
O 0.238 0.663 0.756
O 0.048 0.826 0.959
O 0.270 0.321 0.244
O 0.965 0.259 0.041
O 0.952 0.826 0.459
Ru 0.249 0.500 0.000
Ru 0.751 0.500 0.500
Ni 0.247 0.999 0.500
Ni 0.753 0.999 0.000
La 0.707 0.240 0.251
La 0.293 0.240 0.751
Sr 0.786 0.756 0.750
Sr 0.214 0.756 0.250

[5]
! LaNiS2O8 | Alexandria via LeMat-Bulk | GGA+U | optimized geometry; values from VASP
! DOS at the Fermi energy, states/eV/atom: 0.341
! Uncorrected energy, eV/cell: -69.9
! Density, g/cm³: 4.1
&SYSTEM
  ibrav = 0, nat = 12, ntyp = 4
/
ATOMIC_SPECIES
O 16.00 O.upf
S 32.06 S.upf
La 138.91 La.upf
Ni 58.69 Ni.upf
CELL_PARAMETERS angstrom
5.057 0.000 0.000
-2.529 4.380 0.000
0.000 0.000 7.120
ATOMIC_POSITIONS crystal
O 0.333 0.667 0.469
O 0.172 0.345 0.800
O 0.828 0.655 0.200
O 0.655 0.828 0.800
O 0.172 0.828 0.800
O 0.345 0.172 0.200
O 0.828 0.172 0.200
O 0.667 0.333 0.531
S 0.667 0.333 0.115
S 0.333 0.667 0.885
La 0.000 0.000 0.500
Ni 0.000 0.000 0.000

[6]
! La3NiWS3O6 | Alexandria via LeMat-Bulk | GGA+U | optimized geometry; values from VASP
! DOS at the Fermi energy, states/eV/atom: 0.285
! Uncorrected energy, eV/cell: -198.0
! Density, g/cm³: 6.5
&SYSTEM
  ibrav = 0, nat = 28, ntyp = 5
/
ATOMIC_SPECIES
O 16.00 O.upf
La 138.91 La.upf
S 32.06 S.upf
W 183.84 W.upf
Ni 58.69 Ni.upf
CELL_PARAMETERS angstrom
4.744 -8.217 0.000
4.744 8.217 0.000
0.000 0.000 5.566
ATOMIC_POSITIONS crystal
O 0.473 0.840 0.023
O 0.366 0.527 0.477
O 0.473 0.840 0.477
O 0.840 0.366 0.523
O 0.160 0.634 0.023
O 0.634 0.473 0.523
O 0.634 0.473 0.977
O 0.160 0.634 0.477
O 0.366 0.527 0.023
O 0.527 0.160 0.977
O 0.527 0.160 0.523
O 0.840 0.366 0.977
La 0.089 0.405 0.750
La 0.405 0.317 0.250
La 0.683 0.089 0.250
La 0.911 0.595 0.250
La 0.595 0.683 0.750
La 0.317 0.911 0.750
S 0.046 0.224 0.250
S 0.776 0.822 0.250
S 0.954 0.776 0.750
S 0.224 0.178 0.750
S 0.178 0.954 0.250
S 0.822 0.046 0.750
W 0.667 0.333 0.750
W 0.333 0.667 0.250
Ni 0.000 0.000 0.500
Ni 0.000 0.000 0.000

[7]
! LaSc2NiO | Alexandria via LeMat-Bulk | GGA+U | optimized geometry; values from VASP
! DOS at the Fermi energy, states/eV/atom: 1.128
! Uncorrected energy, eV/cell: -17.8
! Density, g/cm³: 4.2
&SYSTEM
  ibrav = 0, nat = 5, ntyp = 4
/
ATOMIC_SPECIES
Sc 44.96 Sc.upf
La 138.91 La.upf
O 16.00 O.upf
Ni 58.69 Ni.upf
CELL_PARAMETERS angstrom
-5.146 1.071 0.181
-0.287 -2.025 3.826
1.029 4.526 2.473
ATOMIC_POSITIONS crystal
Sc 0.500 0.000 0.000
Sc 0.000 0.000 0.500
La 0.000 0.000 0.000
O 0.500 0.500 0.500
Ni 0.000 0.500 0.000

[8]
! LaNiSe2O8 | Alexandria via LeMat-Bulk | GGA+U | optimized geometry; values from VASP
! DOS at the Fermi energy, states/eV/atom: 0.198
! Uncorrected energy, eV/cell: -69.0
! Density, g/cm³: 4.4
&SYSTEM
  ibrav = 0, nat = 12, ntyp = 4
/
ATOMIC_SPECIES
Se 78.96 Se.upf
O 16.00 O.upf
La 138.91 La.upf
Ni 58.69 Ni.upf
CELL_PARAMETERS angstrom
-4.138 1.418 -3.405
-0.221 -4.786 2.787
-3.217 3.201 5.243
ATOMIC_POSITIONS crystal
Se 0.667 0.333 0.260
Se 0.333 0.667 0.740
O 0.689 0.844 0.795
O 0.844 0.689 0.205
O 0.333 0.667 0.497
O 0.156 0.844 0.795
O 0.311 0.156 0.205
O 0.667 0.333 0.503
O 0.844 0.156 0.205
O 0.156 0.311 0.795
La 0.000 0.000 0.500
Ni 0.000 0.000 0.000

[9]
! LaNiSe2O6 | Alexandria via LeMat-Bulk | GGA+U | optimized geometry; values from VASP
! DOS at the Fermi energy, states/eV/atom: 0.539
! Uncorrected energy, eV/cell: -57.1
! Density, g/cm³: 5.3
&SYSTEM
  ibrav = 0, nat = 10, ntyp = 4
/
ATOMIC_SPECIES
Se 78.96 Se.upf
O 16.00 O.upf
Ni 58.69 Ni.upf
La 138.91 La.upf
CELL_PARAMETERS angstrom
-1.575 4.991 -0.307
-1.499 1.997 -4.610
-6.566 0.646 -0.566
ATOMIC_POSITIONS crystal
Se 0.796 0.796 0.612
Se 0.204 0.204 0.388
O 0.924 0.519 0.250
O 0.519 0.307 0.250
O 0.481 0.693 0.750
O 0.693 0.076 0.750
O 0.307 0.924 0.250
O 0.076 0.481 0.750
Ni 0.500 0.500 0.500
La 0.000 0.000 0.000

[10]
! Sr3LaNi2O8 | Alexandria via LeMat-Bulk | GGA+U | optimized geometry; values from VASP
! DOS at the Fermi energy, states/eV/atom: 0.484
! Uncorrected energy, eV/cell: -84.3
! Density, g/cm³: 5.8
&SYSTEM
  ibrav = 0, nat = 14, ntyp = 4
/
ATOMIC_SPECIES
O 16.00 O.upf
Ni 58.69 Ni.upf
La 138.91 La.upf
Sr 87.62 Sr.upf
CELL_PARAMETERS angstrom
-3.776 0.939 5.548
-1.201 -3.207 -5.847
1.985 -4.635 2.135
ATOMIC_POSITIONS crystal
O 0.160 0.840 0.000
O 0.759 0.752 0.746
O 0.842 0.158 0.000
O 0.658 0.342 0.500
O 0.248 0.241 0.746
O 0.248 0.241 0.254
O 0.759 0.752 0.254
O 0.331 0.669 0.500
Ni 0.497 0.503 0.500
Ni 0.999 0.001 0.000
La 0.138 0.862 0.500
Sr 0.642 0.358 0.000
Sr 0.858 0.142 0.500
Sr 0.361 0.639 0.000

[11]
! SrLaTaNiO6 | Alexandria via LeMat-Bulk | GGA+U | optimized geometry; values from VASP
! DOS at the Fermi energy, states/eV/atom: 0.000
! Uncorrected energy, eV/cell: -77.9
! Density, g/cm³: 7.3
&SYSTEM
  ibrav = 0, nat = 10, ntyp = 5
/
ATOMIC_SPECIES
Sr 87.62 Sr.upf
O 16.00 O.upf
Ni 58.69 Ni.upf
La 138.91 La.upf
Ta 180.95 Ta.upf
CELL_PARAMETERS angstrom
5.664 0.000 0.000
2.832 4.905 0.000
2.832 1.635 4.624
ATOMIC_POSITIONS crystal
Sr 0.500 0.500 0.500
O 0.503 0.997 0.997
O 0.997 0.503 0.503
O 0.997 0.997 0.503
O 0.503 0.503 0.997
O 0.503 0.997 0.503
O 0.997 0.503 0.997
Ni 0.250 0.250 0.250
La 0.000 0.000 0.000
Ta 0.750 0.750 0.750

[12]
! Sr2La2TlNi2O9 | Alexandria via LeMat-Bulk | GGA+U | optimized geometry; values from VASP
! DOS at the Fermi energy, states/eV/atom: 0.123
! Uncorrected energy, eV/cell: -99.9
! Density, g/cm³: 6.8
&SYSTEM
  ibrav = 0, nat = 16, ntyp = 5
/
ATOMIC_SPECIES
O 16.00 O.upf
La 138.91 La.upf
Tl 204.38 Tl.upf
Sr 87.62 Sr.upf
Ni 58.69 Ni.upf
CELL_PARAMETERS angstrom
-0.667 -2.508 -2.849
3.364 -1.716 0.771
-8.251 -7.062 10.729
ATOMIC_POSITIONS crystal
O 0.220 0.217 0.438
O 0.783 0.780 0.562
O 0.354 0.850 0.705
O 0.649 0.145 0.295
O 0.855 0.351 0.705
O 0.462 0.538 0.000
O 0.060 0.080 0.140
O 0.150 0.646 0.295
O 0.920 0.940 0.860
La 0.300 0.296 0.596
La 0.704 0.700 0.404
Tl 0.037 0.963 0.000
Sr 0.587 0.580 0.167
Sr 0.420 0.413 0.833
Ni 0.147 0.144 0.291
Ni 0.856 0.853 0.709

[13]
! LaTcNiO6 | Alexandria via LeMat-Bulk | GGA+U | optimized geometry; values from VASP
! Uncorrected energy, eV/cell: -64.1
! Density, g/cm³: 5.4
&SYSTEM
  ibrav = 0, nat = 9, ntyp = 4
/
ATOMIC_SPECIES
La 138.91 La.upf
O 16.00 O.upf
Tc 98.00 Tc.upf
Ni 58.69 Ni.upf
CELL_PARAMETERS angstrom
-5.126 1.033 -0.212
-3.392 -3.815 -1.151
-0.430 -1.117 4.968
ATOMIC_POSITIONS crystal
La 0.000 0.000 0.000
O 0.361 0.022 0.712
O 0.618 0.361 0.712
O 0.618 0.021 0.288
O 0.361 0.618 0.288
O 0.021 0.618 0.712
O 0.021 0.361 0.288
Tc 0.333 0.333 0.500
Ni 0.667 0.667 0.500

[14]
! La2TcNiO6 | Alexandria via LeMat-Bulk | GGA+U | optimized geometry; values from VASP
! Uncorrected energy, eV/cell: -75.4
! Density, g/cm³: 7.0
&SYSTEM
  ibrav = 0, nat = 10, ntyp = 4
/
ATOMIC_SPECIES
O 16.00 O.upf
Ni 58.69 Ni.upf
La 138.91 La.upf
Tc 98.00 Tc.upf
CELL_PARAMETERS angstrom
4.716 -2.367 1.921
-0.273 -4.092 3.835
1.276 -5.278 -1.430
ATOMIC_POSITIONS crystal
O 0.750 0.250 0.750
O 0.250 0.750 0.750
O 0.750 0.250 0.250
O 0.750 0.750 0.250
O 0.250 0.250 0.750
O 0.250 0.750 0.250
Ni 0.000 0.000 0.000
La 0.750 0.750 0.750
La 0.250 0.250 0.250
Tc 0.500 0.500 0.500

[15]
! LaNiTe2O8 | Alexandria via LeMat-Bulk | GGA+U | optimized geometry; values from VASP
! DOS at the Fermi energy, states/eV/atom: 0.291
! Uncorrected energy, eV/cell: -68.7
! Density, g/cm³: 4.8
&SYSTEM
  ibrav = 0, nat = 12, ntyp = 4
/
ATOMIC_SPECIES
O 16.00 O.upf
Te 127.60 Te.upf
La 138.91 La.upf
Ni 58.69 Ni.upf
CELL_PARAMETERS angstrom
-0.494 -0.518 6.018
4.078 -3.329 -3.003
4.283 4.574 0.745
ATOMIC_POSITIONS crystal
O 0.333 0.667 0.349
O 0.687 0.843 0.721
O 0.843 0.687 0.279
O 0.157 0.843 0.721
O 0.667 0.333 0.651
O 0.313 0.157 0.279
O 0.157 0.313 0.721
O 0.843 0.157 0.279
Te 0.667 0.333 0.364
Te 0.333 0.667 0.636
La 0.000 0.000 0.000
Ni 0.000 0.000 0.500

[16]
! LaNiTeO6 | Alexandria via LeMat-Bulk | GGA+U | optimized geometry; values from VASP
! Uncorrected energy, eV/cell: -55.9
! Density, g/cm³: 5.8
&SYSTEM
  ibrav = 0, nat = 9, ntyp = 4
/
ATOMIC_SPECIES
Ni 58.69 Ni.upf
La 138.91 La.upf
O 16.00 O.upf
Te 127.60 Te.upf
CELL_PARAMETERS angstrom
-1.982 -1.120 -4.582
-1.556 -4.896 -1.156
-4.770 1.216 1.838
ATOMIC_POSITIONS crystal
Ni 0.669 0.665 0.500
La 0.010 0.995 0.000
O 0.623 0.362 0.724
O 0.623 0.015 0.276
O 0.369 0.004 0.698
O 0.997 0.376 0.293
O 0.369 0.628 0.302
O 0.997 0.627 0.707
Te 0.343 0.329 0.500

[17]
! La2Ti3NiO10 | Alexandria via LeMat-Bulk | GGA+U | optimized geometry; values from VASP
! DOS at the Fermi energy, states/eV/atom: 0.000
! Uncorrected energy, eV/cell: -132.0
! Density, g/cm³: 5.4
&SYSTEM
  ibrav = 0, nat = 16, ntyp = 4
/
ATOMIC_SPECIES
O 16.00 O.upf
Ti 47.87 Ti.upf
La 138.91 La.upf
Ni 58.69 Ni.upf
CELL_PARAMETERS angstrom
-1.926 1.926 13.340
1.926 -1.926 13.340
1.926 1.926 -13.340
ATOMIC_POSITIONS crystal
O 0.001 0.501 0.500
O 0.927 0.927 0.000
O 0.228 0.228 0.000
O 0.499 0.999 0.500
O 0.145 0.645 0.500
O 0.073 0.073 0.000
O 0.772 0.772 0.000
O 0.355 0.855 0.500
O 0.858 0.358 0.500
O 0.642 0.142 0.500
Ti 0.840 0.840 0.000
Ti 0.000 0.000 0.000
Ti 0.160 0.160 0.000
La 0.582 0.582 0.000
La 0.418 0.418 0.000
Ni 0.250 0.750 0.500

[18]
! La2TlNiO6 | Alexandria via LeMat-Bulk | GGA+U | optimized geometry; values from VASP
! Uncorrected energy, eV/cell: -130.0
! Density, g/cm³: 7.6
&SYSTEM
  ibrav = 0, nat = 20, ntyp = 4
/
ATOMIC_SPECIES
La 138.91 La.upf
O 16.00 O.upf
Tl 204.38 Tl.upf
Ni 58.69 Ni.upf
CELL_PARAMETERS angstrom
-4.853 -2.777 -1.143
3.010 -4.889 -0.903
-1.264 -2.254 7.987
ATOMIC_POSITIONS crystal
La 0.021 0.945 0.258
La 0.479 0.445 0.242
La 0.979 0.055 0.742
La 0.521 0.555 0.758
O 0.319 0.724 0.060
O 0.732 0.311 0.567
O 0.819 0.776 0.560
O 0.681 0.276 0.940
O 0.115 0.461 0.747
O 0.885 0.539 0.253
O 0.268 0.689 0.433
O 0.615 0.039 0.247
O 0.768 0.811 0.933
O 0.385 0.961 0.753
O 0.232 0.189 0.067
O 0.181 0.224 0.440
Tl 0.500 0.000 0.500
Tl 0.000 0.500 0.000
Ni 0.000 0.500 0.500
Ni 0.500 0.000 0.000